[1]
VASP calculation (PBE) on a relaxed Dy2Ga7Pd12 crystal.

Cell: 3.877 10.293 10.293 Å, 120.00 90.00 90.00°
Fractional positions:
Dy 0.243 0.333 0.667
Dy 0.757 0.667 0.333
Ga 0.500 0.000 0.000
Ga 0.254 0.885 0.289
Ga 0.254 0.404 0.115
Ga 0.254 0.711 0.596
Ga 0.746 0.115 0.711
Ga 0.746 0.596 0.885
Ga 0.746 0.289 0.404
Pd 0.249 0.621 0.066
Pd 0.249 0.445 0.379
Pd 0.249 0.934 0.555
Pd 0.751 0.379 0.934
Pd 0.751 0.555 0.621
Pd 0.751 0.066 0.445
Pd 0.245 0.117 0.260
Pd 0.245 0.143 0.883
Pd 0.245 0.740 0.857
Pd 0.755 0.883 0.740
Pd 0.755 0.857 0.117
Pd 0.755 0.260 0.143

Values from the calculation:
Electronic total energy = -107.71 eV per cell
Mass density = 9.76 Mg/m³
Crystal system = trigonal

[2]
VASP calculation (PBE) on a relaxed CdGaRh2 crystal.

Cell: 4.050 4.050 9.286 Å, 77.40 77.40 90.00°
Fractional positions:
Rh 0.568 0.125 0.250
Rh 0.182 0.625 0.250
Rh 0.375 0.432 0.750
Rh 0.875 0.818 0.750
Ga 0.500 0.500 0.000
Ga 0.250 0.750 0.500
Cd 0.000 0.000 0.000
Cd 0.750 0.250 0.500

Values from the calculation:
Electronic total energy = -36.01 eV per cell
Mass density = 8.89 Mg/m³
Crystal system = tetragonal

[3]
VASP calculation (PBE) on a relaxed AcPmPrGd crystal.

Cell: 5.935 5.935 5.935 Å, 60.00 60.00 60.00°
Each line ends with the local moment (μB).
Fractional positions:
Pr 0.250 0.250 0.250  0.10
Ac 0.750 0.750 0.750  0.05
Gd 0.500 0.500 0.500  7.28
Pm 0.000 0.000 0.000  0.02

Values from the calculation:
Electronic total energy = -27.26 eV per cell
Mass density = 7.53 Mg/m³
Crystal system = cubic

[4]
VASP calculation (PBE) on a relaxed Ag4HgF8 crystal.

Cell: 7.181 7.181 6.449 Å, 104.75 107.38 120.20°
Each line ends with the local moment (μB).
Fractional positions:
Ag 0.244 0.244 0.000  0.33
Ag 0.756 0.756 0.000  0.33
Ag 0.310 0.802 0.111  0.32
Ag 0.690 0.198 0.889  0.32
Hg 0.000 0.500 0.500  0.00
F 0.727 0.085 0.242  0.04
F 0.157 0.515 0.242  0.04
F 0.662 0.468 0.129  0.14
F 0.181 0.017 0.197  0.16
F 0.819 0.983 0.803  0.16
F 0.338 0.532 0.871  0.14
F 0.843 0.485 0.758  0.04
F 0.273 0.915 0.758  0.04

Values from the calculation:
Electronic total energy = -41.23 eV per cell
Mass density = 5.45 Mg/m³
Crystal system = monoclinic

[5]
VASP calculation (PBE) on a relaxed Tl2NiHgPd crystal.

Cell: 5.656 4.815 5.656 Å, 90.00 90.00 90.00°
Each line ends with the local moment (μB).
Fractional positions:
Ni 0.000 0.500 0.000  0.35
Tl 0.000 0.000 0.500  0.00
Tl 0.500 0.000 0.000  0.01
Hg 0.000 0.000 0.000  -0.01
Pd 0.500 0.500 0.500  0.03

Values from the calculation:
Electronic total energy = -11.34 eV per cell
Mass density = 8.35 Mg/m³
Crystal system = tetragonal

[6]
VASP calculation (PBE) on a relaxed NdPu2Ru2 crystal.

Cell: 4.445 4.445 11.971 Å, 100.70 100.70 90.00°
Each line ends with the local moment (μB).
Fractional positions:
Nd 0.634 0.634 0.269  0.17
Nd 0.366 0.366 0.731  0.17
Pu 0.000 0.500 0.000  5.23
Pu 0.185 0.185 0.370  4.77
Pu 0.500 0.000 0.000  5.23
Pu 0.815 0.815 0.630  4.77
Ru 0.750 0.250 0.500  -0.47
Ru 0.923 0.923 0.845  -0.55
Ru 0.077 0.077 0.155  -0.55
Ru 0.250 0.750 0.500  -0.47

Values from the calculation:
Electronic total energy = -104.59 eV per cell
Mass density = 12.14 Mg/m³
Crystal system = tetragonal

[7]
VASP calculation (PBE) on a relaxed Hg4PRu crystal.

Cell: 5.638 5.638 5.638 Å, 60.00 60.00 60.00°
Each line ends with the local moment (μB).
Fractional positions:
Hg 0.876 0.375 0.375  0.00
Hg 0.375 0.375 0.876  0.00
Hg 0.375 0.876 0.375  0.00
Hg 0.375 0.375 0.375  0.00
P 0.750 0.750 0.750  -0.01
Ru 0.000 0.000 0.000  0.29

Values from the calculation:
Electronic total energy = -10.25 eV per cell
Mass density = 12.25 Mg/m³
Crystal system = cubic

[8]
VASP calculation (PBE) on a relaxed YPb crystal.

Cell: 3.630 3.630 10.911 Å, 90.00 90.00 120.00°
Fractional positions:
Pb 0.000 0.000 0.001
Pb 0.667 0.333 0.249
Y 0.000 0.000 0.497
Y 0.667 0.333 0.753

Values from the calculation:
Electronic total energy = -20.69 eV per cell
Mass density = 7.90 Mg/m³
Crystal system = trigonal

[9]
VASP calculation (PBE) on a relaxed Tb8TcAg2 crystal.

Cell: 5.213 8.577 8.328 Å, 120.96 108.24 90.00°
Fractional positions:
Tb 0.648 0.878 0.296
Tb 0.351 0.583 0.702
Tb 0.126 0.126 0.253
Tb 0.001 0.335 0.001
Tb 0.874 0.874 0.747
Tb 0.649 0.417 0.298
Tb 0.352 0.122 0.704
Tb 0.999 0.665 0.999
Tc 0.500 0.000 0.000
Ag 0.205 0.706 0.410
Ag 0.795 0.294 0.590

Values from the calculation:
Electronic total energy = -53.03 eV per cell
Mass density = 8.85 Mg/m³
Crystal system = monoclinic

[10]
VASP calculation (PBE) on a relaxed CrAg4Ru crystal.

Cell: 5.353 5.353 5.353 Å, 60.00 60.00 60.00°
Each line ends with the local moment (μB).
Fractional positions:
Cr 0.250 0.250 0.250  3.77
Ag 0.625 0.625 0.125  0.01
Ag 0.625 0.125 0.625  0.01
Ag 0.625 0.625 0.625  0.01
Ag 0.125 0.625 0.625  0.01
Ru 0.000 0.000 0.000  -1.79

Values from the calculation:
Electronic total energy = -26.25 eV per cell
Mass density = 8.95 Mg/m³
Crystal system = cubic

[11]
VASP calculation (PBE) on a relaxed K2RbSnSb2 crystal.

Cell: 5.652 8.534 9.546 Å, 90.00 90.00 90.00°
Fractional positions:
K 0.500 0.007 0.082
K 0.000 0.328 0.167
K 0.500 0.507 0.918
K 0.000 0.828 0.833
Rb 0.000 0.018 0.453
Rb 0.000 0.518 0.547
Sn 0.500 0.162 0.677
Sn 0.500 0.662 0.323
Sb 0.000 0.223 0.809
Sb 0.500 0.308 0.384
Sb 0.000 0.723 0.191
Sb 0.500 0.808 0.616

Values from the calculation:
Electronic total energy = -35.05 eV per cell
Mass density = 3.79 Mg/m³
Crystal system = orthorhombic

[12]
VASP calculation (PBE) on a relaxed Te2RhI crystal.

Cell: 9.281 9.281 9.281 Å, 23.32 23.32 23.32°
Fractional positions:
I 0.539 0.539 0.539
Te 0.107 0.107 0.107
Te 0.663 0.663 0.663
Rh 0.942 0.942 0.942

Values from the calculation:
Electronic total energy = -14.59 eV per cell
Mass density = 7.32 Mg/m³
Crystal system = trigonal